The following is a PBE-GGA calculation of Ta5Al8 after structural relaxation, from OQMD via LeMat-Bulk.

Properties
M_tot ... 0.001 μB per atom
Crystal system ... trigonal
Offset from the most stable computed form ... 79 meV/atom

Geometry as extended XYZ:
```
13
Lattice="2.6185 1.5118 9.2575 -2.6185 1.5118 9.2575 0.0000 -3.0236 9.2575" Properties=species:S:1:pos:R:3 pbc="T T T"
Ta 0.0000 0.0000 0.0000
Ta 0.0000 0.0000 4.7555
Ta 0.0000 0.0000 12.6300
Ta 0.0000 0.0000 15.1425
Ta 0.0000 0.0000 23.0170
Al 0.0000 -1.5170 7.0368
Al -1.3138 0.7585 7.0368
Al 0.0000 0.0000 9.6103
Al -1.3138 -0.7585 20.7357
Al 1.3138 0.7585 7.0368
Al 0.0000 0.0000 18.1621
Al 1.3138 -0.7585 20.7357
Al 0.0000 1.5170 20.7357
```

***

The following is a PBE-GGA calculation of BaYAgO3 after structural relaxation, from OQMD via LeMat-Bulk.

Properties
M_tot ... 0.000 μB per atom
E ... -6.59 eV/atom
Crystal system ... orthorhombic

Geometry as extended XYZ:
```
12
Lattice="1.8311 -6.5826 0.0000 1.8311 6.5826 0.0000 0.0000 0.0000 8.8762" Properties=species:S:1:pos:R:3 pbc="T T T"
Ba 1.8311 4.1110 6.6571
Ba 1.8311 -4.1110 2.2190
Y 1.8311 0.0000 0.0000
Y 1.8311 0.0000 4.4381
Ag 1.8311 5.2100 2.2190
Ag 1.8311 -5.2100 6.6571
O 1.8311 5.1257 0.1553
O 1.8311 5.1257 4.2828
O 1.8311 0.6737 2.2190
O 1.8311 -0.6737 6.6571
O 1.8311 -5.1257 4.5934
O 1.8311 -5.1257 8.7209
```

***

The following is a PBE-GGA calculation of ZrAlFeW after structural relaxation, from OQMD via LeMat-Bulk.

Properties
M_tot ... 0.684 μB per atom
Crystal system ... cubic
Offset from the most stable computed form ... 0 meV/atom

Geometry as extended XYZ:
```
4
Lattice="0.0000 3.1723 3.1723 3.1723 0.0000 3.1723 3.1723 3.1723 0.0000" Properties=species:S:1:pos:R:3 pbc="T T T"
Zr 0.0000 0.0000 0.0000
Al 3.1723 3.1723 3.1723
Fe 4.7585 4.7585 4.7585
W 1.5862 1.5862 1.5862
```